a) Entry from Alexandria via LeMat-Bulk: an optimized crystal structure of SiSN2 (GGA-PBE). Values from VASP.

N(E_F)   1.600 states/eV per cell

```
&SYSTEM
  ibrav = 0, nat = 8, ntyp = 3
/
ATOMIC_SPECIES
S 32.06 S.upf
Si 28.09 Si.upf
N 14.01 N.upf
CELL_PARAMETERS angstrom
-3.561 3.073 1.387
-2.551 -3.775 1.814
-1.295 0.125 5.067
ATOMIC_POSITIONS angstrom
S 0.000 0.000 0.000
S -3.956 1.424 4.027
Si -3.056 -0.351 1.601
Si -3.451 -2.000 4.241
N -2.525 1.184 2.227
N -2.706 -1.648 2.708
N -3.509 -0.533 5.176
N -6.073 -0.157 6.427
```

---

b) Entry from Alexandria via LeMat-Bulk: an optimized crystal structure of SiSN2 (GGA-PBE). Values from VASP.

N(E_F)   1.249 states/eV per cell

```
&SYSTEM
  ibrav = 0, nat = 8, ntyp = 3
/
ATOMIC_SPECIES
Si 28.09 Si.upf
S 32.06 S.upf
N 14.01 N.upf
CELL_PARAMETERS angstrom
7.354 0.000 0.001
0.000 2.912 0.000
-1.194 0.000 4.893
ATOMIC_POSITIONS angstrom
Si 2.427 0.000 2.411
Si 1.830 1.456 4.857
S 5.555 0.000 3.172
S 6.152 1.456 0.725
N 4.089 0.000 2.816
N 4.686 1.456 0.369
N 1.503 0.000 3.914
N 2.100 1.456 1.468
```

---

Stability ranking, top and bottom: b) is the most stable and a) is the least stable.

---

a) Entry from Alexandria via LeMat-Bulk: an optimized crystal structure of Si3SN (GGA-PBE). Values from VASP.

N(E_F)   2.582 states/eV per cell

```
&SYSTEM
  ibrav = 0, nat = 5, ntyp = 3
/
ATOMIC_SPECIES
S 32.06 S.upf
Si 28.09 Si.upf
N 14.01 N.upf
CELL_PARAMETERS angstrom
-1.972 2.303 3.377
-3.139 -3.255 0.386
2.618 -2.168 3.007
ATOMIC_POSITIONS angstrom
S 0.000 0.000 0.000
Si -1.570 -1.628 0.193
Si 1.309 -1.084 1.504
Si -0.986 1.151 1.689
N -1.247 -1.560 3.385
```

---

b) Entry from Alexandria via LeMat-Bulk: an optimized crystal structure of Si3SN (GGA-PBE). Values from VASP.

N(E_F)   3.119 states/eV per cell

```
&SYSTEM
  ibrav = 0, nat = 5, ntyp = 3
/
ATOMIC_SPECIES
S 32.06 S.upf
Si 28.09 Si.upf
N 14.01 N.upf
CELL_PARAMETERS angstrom
4.183 0.000 0.000
0.000 4.183 0.000
0.000 0.000 4.183
ATOMIC_POSITIONS angstrom
S 2.092 2.092 2.092
Si 0.000 2.092 0.000
Si 0.000 0.000 2.092
Si 2.092 0.000 0.000
N 0.000 0.000 0.000
```

---

Stability ranking, top and bottom: b) is the most stable and a) is the least stable.

---

a) Entry from Alexandria via LeMat-Bulk: an optimized crystal structure of SiSnSN2 (GGA-PBE). Values from VASP.

N(E_F)   2.216 states/eV per cell

```
&SYSTEM
  ibrav = 0, nat = 5, ntyp = 4
/
ATOMIC_SPECIES
S 32.06 S.upf
Si 28.09 Si.upf
Sn 118.71 Sn.upf
N 14.01 N.upf
CELL_PARAMETERS angstrom
4.099 0.000 0.000
0.000 4.099 0.000
0.000 0.000 5.279
ATOMIC_POSITIONS angstrom
S 0.000 0.000 2.640
Si 2.049 2.049 2.640
Sn 0.000 0.000 0.000
N 0.000 2.049 0.000
N 2.049 0.000 0.000
```

---

b) Entry from Alexandria via LeMat-Bulk: an optimized crystal structure of SiSnSN2 (GGA-PBE). Values from VASP.

N(E_F)   2.049 states/eV per cell

```
&SYSTEM
  ibrav = 0, nat = 5, ntyp = 4
/
ATOMIC_SPECIES
S 32.06 S.upf
Si 28.09 Si.upf
Sn 118.71 Sn.upf
N 14.01 N.upf
CELL_PARAMETERS angstrom
3.666 0.000 0.000
0.000 3.666 0.000
0.000 0.000 4.982
ATOMIC_POSITIONS angstrom
S 0.000 0.000 2.491
Si 0.000 0.000 0.000
Sn 1.833 1.833 2.491
N 0.000 1.833 0.000
N 1.833 0.000 0.000
```

---

Stability ranking, top and bottom: b) is the most stable and a) is the least stable.

---

a) Entry from Alexandria via LeMat-Bulk: an optimized crystal structure of SiTcSN2 (GGA-PBE). Values from VASP.

N(E_F)   3.146 states/eV per cell

```
&SYSTEM
  ibrav = 0, nat = 5, ntyp = 4
/
ATOMIC_SPECIES
S 32.06 S.upf
Si 28.09 Si.upf
Tc 98.00 Tc.upf
N 14.01 N.upf
CELL_PARAMETERS angstrom
3.425 0.000 0.000
0.000 3.425 0.000
0.000 0.000 6.329
ATOMIC_POSITIONS angstrom
S 0.000 0.000 3.165
Si 0.000 0.000 0.000
Tc 1.712 1.712 3.165
N 0.000 1.712 0.000
N 1.712 0.000 0.000
```

---

b) Entry from Alexandria via LeMat-Bulk: an optimized crystal structure of SiTcSN2 (GGA-PBE). Values from VASP.

N(E_F)   3.554 states/eV per cell

```
&SYSTEM
  ibrav = 0, nat = 5, ntyp = 4
/
ATOMIC_SPECIES
S 32.06 S.upf
Si 28.09 Si.upf
Tc 98.00 Tc.upf
N 14.01 N.upf
CELL_PARAMETERS angstrom
3.820 0.000 0.000
0.000 3.820 0.000
0.000 0.000 5.086
ATOMIC_POSITIONS angstrom
S 0.000 0.000 2.543
Si 1.910 1.910 2.543
Tc 0.000 0.000 0.000
N 0.000 1.910 0.000
N 1.910 0.000 0.000
```

---

Stability ranking, top and bottom: b) is the most stable and a) is the least stable.